Below is a relaxed structure of CeYZnTc, with properties calculated at the PBE level.

* DOS(E_F): 1.283 states/eV/atom
* E: -0.450 Ry per atom
* energy of formation from the pure elements: -11.5 kJ/mol of atoms
* total magnetization: 0.000 μB per formula unit

abc: 4.967 4.967 4.967
angles: 60.00 60.00 60.00
Fractional positions:
Y (0.250, 0.250, 0.250)
Zn (0.000, 0.000, 0.000)
Tc (0.500, 0.500, 0.500)
Ce (0.750, 0.750, 0.750)